1.
VASP calculation (GGA-PBEsol) on a relaxed structure of ErBRh3.

Cell: 4.1264 4.1264 4.1264 Å, 90.00 90.00 90.00°
Space group Pm-3m (No. 221)
Symmetry-distinct sites (fractional):
Er 0.0000 0.0000 0.0000 x1
B 0.5000 0.5000 0.5000 x1
Rh 0.0000 0.5000 0.5000 x3

Calculated values
The value obtained for the calculated formation energy is -0.82 eV per atom.



2.
VASP calculation (GGA-PBEsol) on a relaxed structure of Er2B6Rh.

Cell: 9.0705 11.3870 3.5756 Å, 90.00 90.00 90.00°
Space group Pbam (No. 55)
Symmetry-distinct sites (fractional):
Er 0.0558 0.1264 0.0000 x4
Er 0.1776 0.4136 0.0000 x4
B 0.0178 0.2874 0.5000 x4
B 0.0531 0.5658 0.5000 x4
B 0.1093 0.9703 0.5000 x4
B 0.1327 0.8162 0.5000 x4
B 0.2061 0.2356 0.5000 x4
B 0.2494 0.5795 0.5000 x4
Rh 0.1395 0.6793 0.0000 x4

Calculated values
The value obtained for the calculated formation energy is -0.74 eV per atom.



3.
VASP calculation (GGA-PBEsol) on a relaxed structure of ErB2Rh3.

Cell: 5.3277 5.3277 3.1007 Å, 90.00 90.00 120.00°
Space group P6/mmm (No. 191)
Symmetry-distinct sites (fractional):
Er 0.0000 0.0000 0.0000 x1
B 0.3333 0.6667 0.0000 x2
Rh 0.0000 0.5000 0.5000 x3

Calculated values
The value obtained for the calculated formation energy is -0.77 eV per atom.



4.
VASP calculation (GGA-PBEsol) on a relaxed structure of ErB4Rh.

Cell: 5.9024 11.4401 3.4887 Å, 90.00 90.00 90.00°
Space group Pbam (No. 55)
Symmetry-distinct sites (fractional):
Er 0.1311 0.1488 0.0000 x4
B 0.0225 0.6932 0.5000 x4
B 0.1128 0.5472 0.5000 x4
B 0.1352 0.9689 0.5000 x4
B 0.2091 0.8128 0.5000 x4
Rh 0.1413 0.4058 0.0000 x4

Calculated values
The value obtained for the calculated formation energy is -0.70 eV per atom.



5.
VASP calculation (GGA-PBEsol) on a relaxed structure of Er2B6Rh9.

Cell: 5.5160 5.5160 8.4765 Å, 90.00 90.00 120.00°
Space group P6/mmm (No. 191)
Symmetry-distinct sites (fractional):
Er 0.0000 0.0000 0.2047 x2
B 0.3333 0.6667 0.1675 x4
B 0.3333 0.6667 0.5000 x2
Rh 0.0000 0.5000 0.0000 x3
Rh 0.0000 0.5000 0.3356 x6

Calculated values
The value obtained for the calculated formation energy is -0.66 eV per atom.



6.
VASP calculation (GGA-PBEsol) on a relaxed structure of ErB2Ru.

Cell: 5.8027 5.2449 6.2581 Å, 90.00 90.00 90.00°
Space group Pnma (No. 62)
Symmetry-distinct sites (fractional):
Er 0.0092 0.2500 0.1639 x4
B 0.1340 0.5824 0.4614 x8
Ru 0.1812 0.2500 0.6815 x4

Calculated values
The value obtained for the calculated formation energy is -0.69 eV per atom.



7.
VASP calculation (GGA-PBEsol) on a relaxed structure of Er2B6Ru.

Cell: 9.0303 11.3852 3.5840 Å, 90.00 90.00 90.00°
Space group Pbam (No. 55)
Symmetry-distinct sites (fractional):
Er 0.0566 0.1278 0.0000 x4
Er 0.1781 0.4141 0.0000 x4
B 0.0175 0.2874 0.5000 x4
B 0.0537 0.5667 0.5000 x4
B 0.1069 0.9705 0.5000 x4
B 0.1311 0.8152 0.5000 x4
B 0.2090 0.2340 0.5000 x4
B 0.2484 0.5799 0.5000 x4
Ru 0.1377 0.6790 0.0000 x4

Calculated values
The value obtained for the calculated formation energy is -0.78 eV per atom.



8.
VASP calculation (GGA-PBEsol) on a relaxed structure of Er9B5S21.

Cell: 16.1430 16.1430 17.1663 Å, 90.00 90.00 120.00°
Space group R3 (No. 146, hexagonal axes)
Symmetry-distinct sites (fractional):
Er 0.0204 0.2042 0.0000 x9
Er 0.0298 0.2084 0.3108 x9
Er 0.0361 0.1961 0.6488 x9
Er 0.1546 0.6959 0.4766 x9
Er 0.1566 0.7004 0.1653 x9
Er 0.1678 0.6935 0.8170 x9
B 0.0000 0.0000 0.2875 x3
B 0.0000 0.0000 0.4659 x3
B 0.0000 0.0000 0.7871 x3
B 0.0000 0.0000 0.9661 x3
B 0.0001 0.6581 0.6794 x9
B 0.0112 0.3397 0.5129 x9
S 0.0076 0.5623 0.3871 x9
S 0.0116 0.6750 0.9007 x9
S 0.0148 0.3418 0.4007 x9
S 0.0167 0.1201 0.7968 x9
S 0.0167 0.5584 0.7251 x9
S 0.0195 0.1215 0.4685 x9
S 0.0190 0.1433 0.1429 x9
S 0.0295 0.5764 0.0565 x9
S 0.1123 0.3381 0.8910 x9
S 0.1145 0.3601 0.2216 x9
S 0.1187 0.1062 0.9686 x9
S 0.1200 0.1033 0.2978 x9
S 0.1281 0.3533 0.5566 x9
S 0.1467 0.1211 0.6417 x9

Calculated values
The calculation puts the formation energy (no corrections) at -1510 meV/atom.



Repeat the fifth record exactly.
VASP calculation (GGA-PBEsol) on a relaxed structure of Er2B6Rh9.

Cell: 5.5160 5.5160 8.4765 Å, 90.00 90.00 120.00°
Space group P6/mmm (No. 191)
Symmetry-distinct sites (fractional):
Er 0.0000 0.0000 0.2047 x2
B 0.3333 0.6667 0.1675 x4
B 0.3333 0.6667 0.5000 x2
Rh 0.0000 0.5000 0.0000 x3
Rh 0.0000 0.5000 0.3356 x6

Calculated values
The value obtained for the calculated formation energy is -0.66 eV per atom.